Entry 1:
V2Hg2Br | PBE | optimized geometry

Structure (extended XYZ):
```
5
Lattice="-2.625 2.607 -1.913 -3.165 -1.566 2.209 -1.882 4.864 4.678" Properties=species:S:1:pos:R:3 pbc="T T T"
Hg -3.701 3.996 1.456
Hg -3.971 1.909 3.517
Br 0.000 0.000 0.000
V -2.747 1.156 0.811
V -4.925 4.749 4.163
```

Results
**Formation energy (no corrections)**: 0.637 eV per atom
**DOS(E_F)**: 0.893 states/eV/atom
**Relative energy among the computed polymorphs**: 279 meV/atom


Entry 2:
V3Hg2Br8 | PBE | optimized geometry

Structure (extended XYZ):
```
13
Lattice="-3.908 -1.475 -5.003 5.958 -2.580 -3.893 -4.361 -7.643 5.751" Properties=species:S:1:pos:R:3 pbc="T T T"
V -1.954 -0.738 -2.502
V 1.534 -0.664 -1.002
V 4.424 -1.915 -2.891
Hg 0.314 -6.446 -2.608
Hg -2.625 -5.252 -0.537
Br -1.698 -7.762 2.546
Br -0.613 -3.935 -5.691
Br 1.159 -9.128 0.463
Br -3.470 -2.569 -3.608
Br 3.073 -3.729 -4.062
Br -0.065 -2.371 -2.012
Br -2.246 -9.327 -1.134
Br -5.384 -7.968 0.917
```

Results
**Formation energy (no corrections)**: -0.715 eV per atom
**DOS(E_F)**: 0.908 states/eV/atom


Entry 3:
V2Hg2Br | PBE | optimized geometry

Structure (extended XYZ):
```
10
Lattice="7.579 0.000 0.000 0.000 7.579 0.000 0.000 0.000 3.605" Properties=species:S:1:pos:R:3 pbc="T T T"
Hg 1.517 5.307 1.803
Hg 5.307 6.063 1.803
Hg 6.063 2.273 1.803
Hg 2.273 1.517 1.803
Br 0.000 0.000 0.000
Br 3.790 3.790 0.000
V 3.108 6.898 0.000
V 6.898 4.471 0.000
V 4.471 0.681 0.000
V 0.681 3.108 0.000
```

Results
**Formation energy (no corrections)**: 0.358 eV per atom
**DOS(E_F)**: 0.823 states/eV/atom
**Relative energy among the computed polymorphs**: 0 meV/atom


Entry 4:
VHgBr2 | PBE | optimized geometry

Structure (extended XYZ):
```
4
Lattice="0.000 3.650 3.650 3.650 0.000 3.650 3.650 3.650 0.000" Properties=species:S:1:pos:R:3 pbc="T T T"
Hg 3.650 3.650 3.650
Br 1.825 1.825 1.825
Br 5.474 5.474 5.474
V 0.000 0.000 0.000
```

Results
**Formation energy (no corrections)**: 0.159 eV per atom
**DOS(E_F)**: 1.040 states/eV/atom
**Relative energy among the computed polymorphs**: 742 meV/atom


Entry 5:
HgW2Br | PBE | optimized geometry

Structure (extended XYZ):
```
4
Lattice="-2.326 1.162 -1.280 -2.400 0.321 4.654 1.910 4.561 0.670" Properties=species:S:1:pos:R:3 pbc="T T T"
Br -0.208 2.861 -0.305
Hg -0.245 2.441 2.662
W 0.000 0.000 0.000
W -2.363 0.742 1.687
```

Results
**Formation energy (no corrections)**: 1.228 eV per atom
**DOS(E_F)**: 0.840 states/eV/atom
**Relative energy among the computed polymorphs**: 837 meV/atom


Entry 6:
HgWBr3 | PBE | optimized geometry

Structure (extended XYZ):
```
5
Lattice="5.267 0.000 0.000 0.000 5.267 0.000 0.000 0.000 5.267" Properties=species:S:1:pos:R:3 pbc="T T T"
Br 0.000 2.633 0.000
Br 0.000 0.000 2.633
Br 2.633 0.000 0.000
Hg 2.633 2.633 2.633
W 0.000 0.000 0.000
```

Results
**Formation energy (no corrections)**: 0.182 eV per atom
**DOS(E_F)**: 0.602 states/eV/atom
**Relative energy among the computed polymorphs**: 0 meV/atom


So what do the calculations give for total energy? Going down the list: -3.466; -3.895; -3.745; -3.032; -5.742; -3.473 eV/atom.